# NbCl3 (PBE, optimized geometry)
# electronic total energy: -64.14 eV per cell
# formation energy without anion corrections: -106 meV/atom
# magnetization: 2.000 μB per formula unit
data_NbCl3
_symmetry_space_group_name_H-M 'F m -3 m'
_symmetry_Int_Tables_number 225
_symmetry_space_group_name_Hall '-F 4 2 3'
_cell_length_a 6.679
_cell_length_b 6.679
_cell_length_c 6.679
_cell_angle_alpha 90.00
_cell_angle_beta 90.00
_cell_angle_gamma 90.00
loop_
_atom_site_label
_atom_site_type_symbol
_atom_site_fract_x
_atom_site_fract_y
_atom_site_fract_z
_atom_site_occupancy
Nb1 Nb 0.000 0.000 0.000 1
Cl1 Cl 0.000 0.000 0.500 1
Cl2 Cl 0.250 0.250 0.250 1

# Nb3Cl7 (PBE, optimized geometry)
# electronic total energy: -445.74 eV per cell
# formation energy without anion corrections: -1258 meV/atom
# magnetization: 0.000 μB per formula unit
data_Nb3Cl7
_symmetry_space_group_name_H-M 'C m c e'
_symmetry_Int_Tables_number 64
_symmetry_space_group_name_Hall '-C 2ac 2'
_cell_length_a 13.599
_cell_length_b 13.927
_cell_length_c 11.415
_cell_angle_alpha 90.00
_cell_angle_beta 90.00
_cell_angle_gamma 90.00
loop_
_atom_site_label
_atom_site_type_symbol
_atom_site_fract_x
_atom_site_fract_y
_atom_site_fract_z
_atom_site_occupancy
Nb1 Nb 0.000 0.124 0.085 1
Nb2 Nb 0.110 0.052 0.887 1
Cl1 Cl 0.000 0.123 0.735 1
Cl2 Cl 0.124 0.094 0.237 1
Cl3 Cl 0.125 0.215 0.977 1
Cl4 Cl 0.246 0.000 0.500 1
Cl5 Cl 0.250 0.123 0.750 1

# Nd2NbCl (PBE, optimized geometry)
# electronic total energy: -65.39 eV per cell
# formation energy without anion corrections: -86 meV/atom
# magnetization: 1.127 μB per formula unit
data_Nd2NbCl
_symmetry_space_group_name_H-M 'R -3 m'
_symmetry_Int_Tables_number 166
_symmetry_space_group_name_Hall '-R 3 2"'
_cell_length_a 3.3078
_cell_length_b 3.3078
_cell_length_c 32.2701
_cell_angle_alpha 90.00
_cell_angle_beta 90.00
_cell_angle_gamma 120.00
loop_
_atom_site_label
_atom_site_type_symbol
_atom_site_fract_x
_atom_site_fract_y
_atom_site_fract_z
_atom_site_occupancy
Nd1 Nd 0.0000 0.0000 0.0938 1
Nb1 Nb 0.0000 0.0000 0.0000 1
Cl1 Cl 0.0000 0.0000 0.5000 1

# Nd3NbCl3O6 (PBE, optimized geometry)
# electronic total energy: -190.64 eV per cell
# formation energy without anion corrections: -2743 meV/atom
# magnetization: 0.896 μB per formula unit
data_Nd3NbCl3O6
_symmetry_space_group_name_H-M 'P 63/m'
_symmetry_Int_Tables_number 176
_symmetry_space_group_name_Hall '-P 6c'
_cell_length_a 9.4966
_cell_length_b 9.4966
_cell_length_c 5.3209
_cell_angle_alpha 90.00
_cell_angle_beta 90.00
_cell_angle_gamma 120.00
loop_
_atom_site_label
_atom_site_type_symbol
_atom_site_fract_x
_atom_site_fract_y
_atom_site_fract_z
_atom_site_occupancy
Nd1 Nd 0.0904 0.6874 0.2500 1
Nb1 Nb 0.3333 0.6667 0.7500 1
Cl1 Cl 0.0517 0.8110 0.7500 1
O1 O 0.1564 0.5203 0.5102 1

# NbNi2Cl2 (PBE, optimized geometry)
# electronic total energy: -45.18 eV per cell
# formation energy without anion corrections: 547 meV/atom
# ΔE to the lowest computed polymorph: 156 meV per atom
# magnetization: 1.000 μB per formula unit
data_NbNi2Cl2
_symmetry_space_group_name_H-M 'I 4/m m m'
_symmetry_Int_Tables_number 139
_symmetry_space_group_name_Hall '-I 4 2'
_cell_length_a 3.949
_cell_length_b 3.949
_cell_length_c 10.339
_cell_angle_alpha 90.00
_cell_angle_beta 90.00
_cell_angle_gamma 90.00
loop_
_atom_site_label
_atom_site_type_symbol
_atom_site_fract_x
_atom_site_fract_y
_atom_site_fract_z
_atom_site_occupancy
Nb1 Nb 0.000 0.000 0.000 1
Ni1 Ni 0.000 0.000 0.389 1
Cl1 Cl 0.000 0.500 0.250 1

# NbNiCl3 (PBE, optimized geometry)
# electronic total energy: -20.72 eV per cell
# formation energy without anion corrections: 134 meV/atom
# ΔE to the lowest computed polymorph: 0 meV per atom
# magnetization: 0.081 μB per formula unit
data_NbNiCl3
_symmetry_space_group_name_H-M 'P m -3 m'
_symmetry_Int_Tables_number 221
_symmetry_space_group_name_Hall '-P 4 2 3'
_cell_length_a 4.856
_cell_length_b 4.856
_cell_length_c 4.856
_cell_angle_alpha 90.00
_cell_angle_beta 90.00
_cell_angle_gamma 90.00
loop_
_atom_site_label
_atom_site_type_symbol
_atom_site_fract_x
_atom_site_fract_y
_atom_site_fract_z
_atom_site_occupancy
Nb1 Nb 0.000 0.000 0.000 1
Ni1 Ni 0.500 0.500 0.500 1
Cl1 Cl 0.000 0.000 0.500 1

# NbNiCl3 (PBE, optimized geometry)
# electronic total energy: -20.39 eV per cell
# formation energy without anion corrections: 201 meV/atom
# ΔE to the lowest computed polymorph: 67 meV per atom
# magnetization: 3.460 μB per formula unit
data_NbNiCl3
_symmetry_space_group_name_H-M 'P m -3 m'
_symmetry_Int_Tables_number 221
_symmetry_space_group_name_Hall '-P 4 2 3'
_cell_length_a 4.626
_cell_length_b 4.626
_cell_length_c 4.626
_cell_angle_alpha 90.00
_cell_angle_beta 90.00
_cell_angle_gamma 90.00
loop_
_atom_site_label
_atom_site_type_symbol
_atom_site_fract_x
_atom_site_fract_y
_atom_site_fract_z
_atom_site_occupancy
Nb1 Nb 0.000 0.000 0.000 1
Ni1 Ni 0.500 0.500 0.500 1
Cl1 Cl 0.000 0.500 0.500 1

# Nb3NiCl (PBE, optimized geometry)
# electronic total energy: -33.57 eV per cell
# formation energy without anion corrections: 854 meV/atom
# ΔE to the lowest computed polymorph: 0 meV per atom
# magnetization: 0.000 μB per formula unit
data_Nb3NiCl
_symmetry_space_group_name_H-M 'P m -3 m'
_symmetry_Int_Tables_number 221
_symmetry_space_group_name_Hall '-P 4 2 3'
_cell_length_a 4.515
_cell_length_b 4.515
_cell_length_c 4.515
_cell_angle_alpha 90.00
_cell_angle_beta 90.00
_cell_angle_gamma 90.00
loop_
_atom_site_label
_atom_site_type_symbol
_atom_site_fract_x
_atom_site_fract_y
_atom_site_fract_z
_atom_site_occupancy
Nb1 Nb 0.000 0.000 0.500 1
Ni1 Ni 0.500 0.500 0.500 1
Cl1 Cl 0.000 0.000 0.000 1

# NbNi2Cl2 (PBE, optimized geometry)
# electronic total energy: -46.75 eV per cell
# formation energy without anion corrections: 391 meV/atom
# ΔE to the lowest computed polymorph: 0 meV per atom
# magnetization: 1.008 μB per formula unit
data_NbNi2Cl2
_symmetry_space_group_name_H-M 'P 4/m b m'
_symmetry_Int_Tables_number 127
_symmetry_space_group_name_Hall '-P 4 2ab'
_cell_length_a 6.468
_cell_length_b 6.468
_cell_length_c 4.171
_cell_angle_alpha 90.00
_cell_angle_beta 90.00
_cell_angle_gamma 90.00
loop_
_atom_site_label
_atom_site_type_symbol
_atom_site_fract_x
_atom_site_fract_y
_atom_site_fract_z
_atom_site_occupancy
Nb1 Nb 0.000 0.000 0.000 1
Ni1 Ni 0.135 0.365 0.000 1
Cl1 Cl 0.204 0.296 0.500 1

# NbNiOsCl2 (PBE, optimized geometry)
# electronic total energy: -25.57 eV per cell
# formation energy without anion corrections: 1042 meV/atom
# magnetization: 0.001 μB per formula unit
data_NbNiOsCl2
_symmetry_space_group_name_H-M 'P 4/m m m'
_symmetry_Int_Tables_number 123
_symmetry_space_group_name_Hall '-P 4 2'
_cell_length_a 4.161
_cell_length_b 4.161
_cell_length_c 5.265
_cell_angle_alpha 90.00
_cell_angle_beta 90.00
_cell_angle_gamma 90.00
loop_
_atom_site_label
_atom_site_type_symbol
_atom_site_fract_x
_atom_site_fract_y
_atom_site_fract_z
_atom_site_occupancy
Nb1 Nb 0.000 0.000 0.000 1
Ni1 Ni 0.500 0.500 0.500 1
Os1 Os 0.500 0.500 0.000 1
Cl1 Cl 0.000 0.500 0.500 1

# Rb2NbNiCl6 (PBE, optimized geometry)
# electronic total energy: -82.16 eV per cell
# formation energy without anion corrections: -1221 meV/atom
# magnetization: 1.000 μB per formula unit
data_Rb2NbNiCl6
_symmetry_space_group_name_H-M 'I 4/m m m'
_symmetry_Int_Tables_number 139
_symmetry_space_group_name_Hall '-I 4 2'
_cell_length_a 7.824
_cell_length_b 7.824
_cell_length_c 9.094
_cell_angle_alpha 90.00
_cell_angle_beta 90.00
_cell_angle_gamma 90.00
loop_
_atom_site_label
_atom_site_type_symbol
_atom_site_fract_x
_atom_site_fract_y
_atom_site_fract_z
_atom_site_occupancy
Rb1 Rb 0.000 0.500 0.250 1
Nb1 Nb 0.000 0.000 0.000 1
Ni1 Ni 0.000 0.000 0.500 1
Cl1 Cl 0.000 0.000 0.268 1
Cl2 Cl 0.226 0.226 0.000 1

# Nb2NiRuCl (PBE, optimized geometry)
# electronic total energy: -31.16 eV per cell
# formation energy without anion corrections: 1176 meV/atom
# magnetization: 0.000 μB per formula unit
data_Nb2NiRuCl
_symmetry_space_group_name_H-M 'P 4/m m m'
_symmetry_Int_Tables_number 123
_symmetry_space_group_name_Hall '-P 4 2'
_cell_length_a 4.682
_cell_length_b 4.682
_cell_length_c 4.488
_cell_angle_alpha 90.00
_cell_angle_beta 90.00
_cell_angle_gamma 90.00
loop_
_atom_site_label
_atom_site_type_symbol
_atom_site_fract_x
_atom_site_fract_y
_atom_site_fract_z
_atom_site_occupancy
Nb1 Nb 0.000 0.500 0.000 1
Ni1 Ni 0.000 0.000 0.000 1
Ru1 Ru 0.000 0.000 0.500 1
Cl1 Cl 0.500 0.500 0.500 1